Compound: BaSr6Mg6
Source: the Alexandria database
Functional: GGA-PBE
Structure: optimized geometry

Geometry as POSCAR:
```
BaSr6Mg6
1.0
-3.453 6.080 6.135
3.453 -6.080 6.135
3.453 6.080 -6.135
Ba Sr Mg
1 6 6
Direct
0.000 0.000 0.000 Ba
0.182 0.500 0.682 Sr
0.335 0.335 0.000 Sr
0.344 0.000 0.344 Sr
0.656 0.000 0.656 Sr
0.665 0.665 0.000 Sr
0.818 0.500 0.318 Sr
0.000 0.000 0.500 Mg
0.000 0.500 0.000 Mg
0.233 0.733 0.500 Mg
0.500 0.000 0.000 Mg
0.500 0.500 0.500 Mg
0.767 0.267 0.500 Mg
```

Computed properties:
DOS(E_F) = 14.208 states/eV/cell
Mass density = 2.61 g cm⁻³
Uncorrected energy = -1.661 eV per atom
Total magnetization = 0.00 μB per formula unit

=====

Compound: Li4MgTl2
Source: the Alexandria database
Functional: GGA-PBE
Structure: optimized geometry

Geometry as POSCAR:
```
Li4MgTl2
1.0
7.548 0.000 0.000
0.000 5.414 0.000
-3.373 0.000 7.088
Li Mg Tl
8 2 4
Direct
0.015 0.250 0.071 Li
0.053 0.750 0.326 Li
0.418 0.506 0.294 Li
0.418 0.994 0.294 Li
0.582 0.006 0.706 Li
0.582 0.494 0.706 Li
0.947 0.250 0.674 Li
0.985 0.750 0.929 Li
0.237 0.750 0.731 Mg
0.763 0.250 0.269 Mg
0.208 0.250 0.480 Tl
0.338 0.250 0.949 Tl
0.662 0.750 0.051 Tl
0.792 0.750 0.520 Tl
```

Computed properties:
DOS(E_F) = 3.914 states/eV/cell
Mass density = 5.28 g cm⁻³
Total magnetization = 0.00 μB per formula unit
Relative energy among the computed polymorphs = 57 meV/atom

=====

Compound: Ac2TbNd
Source: the Alexandria database
Functional: GGA-PBE
Structure: optimized geometry

Geometry as POSCAR:
```
Ac2TbNd
1.0
0.000 4.276 4.276
4.276 0.000 4.276
4.276 4.276 0.000
Ac Tb Nd
2 1 1
Direct
0.250 0.250 0.250 Ac
0.750 0.750 0.750 Ac
0.000 0.000 0.000 Tb
0.500 0.500 0.500 Nd
```

Computed properties:
DOS(E_F) = 7.840 states/eV/cell
Mass density = 8.04 g cm⁻³
Total magnetization = 0.00 μB per formula unit
Relative energy among the computed polymorphs = 74 meV/atom

=====

Compound: NaTlI2
Source: the Alexandria database
Functional: GGA-PBE
Structure: optimized geometry

Geometry as POSCAR:
```
NaTlI2
1.0
5.898 0.000 0.000
0.000 5.898 0.000
0.000 0.000 4.181
Na Tl I
1 1 2
Direct
0.000 0.000 0.000 Na
0.500 0.500 0.000 Tl
0.000 0.500 0.500 I
0.500 0.000 0.500 I
```

Computed properties:
DOS(E_F) = 0.000 states/eV/cell
Mass density = 5.49 g cm⁻³
Uncorrected formation energy = -849 meV per atom
Total magnetization = 0.00 μB per formula unit
Relative energy among the computed polymorphs = 104 meV/atom

=====

Compound: Tb3ZrAl8
Source: the Alexandria database
Functional: GGA-PBE
Structure: optimized geometry

Geometry as POSCAR:
```
Tb3ZrAl8
1.0
5.482 0.000 0.000
-2.741 4.748 0.000
0.000 0.000 9.111
Tb Zr Al
3 1 8
Direct
0.000 0.000 0.000 Tb
0.000 0.000 0.367 Tb
0.333 0.667 0.863 Tb
0.333 0.667 0.500 Zr
0.009 0.504 0.187 Al
0.326 0.163 0.675 Al
0.496 0.504 0.187 Al
0.496 0.991 0.187 Al
0.667 0.333 0.432 Al
0.667 0.333 0.930 Al
0.837 0.163 0.675 Al
0.837 0.674 0.675 Al
```

Computed properties:
DOS(E_F) = 7.256 states/eV/cell
Mass density = 5.49 g cm⁻³
Total magnetization = 0.00 μB per formula unit
Relative energy among the computed polymorphs = 12 meV/atom

=====

Compound: CsZnHg
Source: the Alexandria database
Functional: GGA-PBE
Structure: optimized geometry

Geometry as POSCAR:
```
CsZnHg
1.0
-2.032 2.032 6.384
2.032 -2.032 6.384
2.032 2.032 -6.384
Cs Zn Hg
1 1 1
Direct
0.000 0.000 0.000 Cs
0.715 0.715 0.000 Zn
0.286 0.286 0.000 Hg
```

Computed properties:
DOS(E_F) = 1.733 states/eV/cell
Mass density = 6.28 g cm⁻³
Total magnetization = 0.00 μB per formula unit
Relative energy among the computed polymorphs = 82 meV/atom

=====

Compound: LiTa2Pt
Source: the Alexandria database
Functional: GGA-PBE
Structure: optimized geometry

Geometry as POSCAR:
```
LiTa2Pt
1.0
3.442 0.000 0.000
0.000 3.442 0.000
0.000 0.000 5.522
Li Ta Pt
1 2 1
Direct
0.000 0.000 0.000 Li
0.500 0.500 0.252 Ta
0.500 0.500 0.748 Ta
0.000 0.000 0.500 Pt
```

Computed properties:
DOS(E_F) = 5.256 states/eV/cell
Mass density = 14.31 g cm⁻³
Uncorrected energy = -7.864 eV per atom
Total magnetization = 0.00 μB per formula unit

=====

Compound: NpTaO3
Source: the Alexandria database
Functional: GGA-PBE
Structure: optimized geometry

Geometry as POSCAR:
```
NpTaO3
1.0
4.040 0.000 0.000
0.000 4.040 0.000
0.000 0.000 4.040
Np Ta O
1 1 3
Direct
0.000 0.000 0.000 Np
0.500 0.500 0.500 Ta
0.000 0.500 0.500 O
0.500 0.000 0.500 O
0.500 0.500 0.000 O
```

Computed properties:
DOS(E_F) = 9.071 states/eV/cell
Mass density = 11.73 g cm⁻³
Uncorrected formation energy = -2263 meV per atom
Total magnetization = 4.49 μB per formula unit

=====

Compound: Na3BeFe
Source: the Alexandria database
Functional: GGA-PBE
Structure: optimized geometry

Geometry as POSCAR:
```
Na3BeFe
1.0
5.540 0.000 0.000
0.000 5.540 0.000
0.000 0.000 5.540
Na Be Fe
3 1 1
Direct
0.000 0.000 0.500 Na
0.000 0.500 0.000 Na
0.500 0.000 0.000 Na
0.500 0.500 0.500 Be
0.000 0.000 0.000 Fe
```

Computed properties:
DOS(E_F) = 4.433 states/eV/cell
Mass density = 1.31 g cm⁻³
Total magnetization = 3.22 μB per formula unit
Relative energy among the computed polymorphs = 114 meV/atom

=====

Compound: ScTi3Bi2
Source: the Alexandria database
Functional: GGA-PBE
Structure: optimized geometry

Geometry as POSCAR:
```
ScTi3Bi2
1.0
8.797 -1.933 0.000
8.797 1.933 0.000
-5.814 0.000 8.424
Sc Ti Bi
2 6 4
Direct
0.113 0.113 0.064 Sc
0.887 0.887 0.936 Sc
0.043 0.043 0.673 Ti
0.322 0.322 0.100 Ti
0.409 0.409 0.465 Ti
0.591 0.591 0.535 Ti
0.678 0.678 0.900 Ti
0.957 0.957 0.327 Ti
0.232 0.232 0.744 Bi
0.472 0.472 0.799 Bi
0.528 0.528 0.201 Bi
0.768 0.768 0.256 Bi
```

Computed properties:
DOS(E_F) = 12.162 states/eV/cell
Mass density = 7.03 g cm⁻³
Uncorrected energy = -6.504 eV per atom
Total magnetization = 0.00 μB per formula unit

=====

Compound: KGa2AgF8
Source: the Alexandria database
Functional: GGA-PBE
Structure: optimized geometry

Geometry as POSCAR:
```
KGa2AgF8
1.0
2.832 1.635 7.259
-2.832 1.635 7.259
0.000 -3.270 7.259
K Ga Ag F
1 2 1 8
Direct
0.000 0.000 0.000 K
0.251 0.251 0.251 Ga
0.749 0.749 0.749 Ga
0.500 0.500 0.500 Ag
0.056 0.811 0.448 F
0.189 0.552 0.944 F
0.334 0.334 0.334 F
0.448 0.056 0.811 F
0.552 0.944 0.189 F
0.666 0.666 0.666 F
0.811 0.448 0.056 F
0.944 0.189 0.552 F
```

Computed properties:
DOS(E_F) = 0.000 states/eV/cell
Mass density = 3.61 g cm⁻³
Uncorrected formation energy = -2344 meV per atom
Total magnetization = 0.14 μB per formula unit

=====

Compound: Y2GaTcC
Source: the Alexandria database
Functional: GGA-PBE
Structure: optimized geometry

Geometry as POSCAR:
```
Y2GaTcC
1.0
4.927 0.000 0.000
0.000 4.927 0.000
0.000 0.000 3.984
Y Ga Tc C
2 1 1 1
Direct
0.000 0.500 0.000 Y
0.500 0.000 0.000 Y
0.000 0.000 0.500 Ga
0.500 0.500 0.500 Tc
0.500 0.500 0.000 C
```

Computed properties:
DOS(E_F) = 2.030 states/eV/cell
Mass density = 6.14 g cm⁻³
Uncorrected energy = -7.520 eV per atom
Total magnetization = 0.00 μB per formula unit

=====

Compound: TiBeAg3
Source: the Alexandria database
Functional: GGA-PBE
Structure: optimized geometry

Geometry as POSCAR:
```
TiBeAg3
1.0
4.403 0.000 0.000
0.000 4.403 0.000
0.000 0.000 4.403
Ti Be Ag
1 1 3
Direct
0.000 0.000 0.000 Ti
0.500 0.500 0.500 Be
0.000 0.500 0.500 Ag
0.500 0.000 0.500 Ag
0.500 0.500 0.000 Ag
```

Computed properties:
DOS(E_F) = 7.489 states/eV/cell
Mass density = 7.40 g cm⁻³
Total magnetization = 0.00 μB per formula unit
Relative energy among the computed polymorphs = 0 meV/atom

=====

Compound: Sr2PaO5
Source: the Alexandria database
Functional: GGA-PBE
Structure: optimized geometry

Geometry as POSCAR:
```
Sr2PaO5
1.0
2.233 -6.107 0.000
2.233 6.107 0.000
0.000 0.000 11.606
Sr Pa O
4 2 10
Direct
0.144 0.856 0.572 Sr
0.144 0.856 0.928 Sr
0.856 0.144 0.072 Sr
0.856 0.144 0.428 Sr
0.168 0.832 0.250 Pa
0.832 0.168 0.750 Pa
0.051 0.949 0.120 O
0.051 0.949 0.380 O
0.277 0.723 0.105 O
0.277 0.723 0.395 O
0.289 0.711 0.750 O
0.711 0.289 0.250 O
0.723 0.277 0.605 O
0.723 0.277 0.895 O
0.949 0.051 0.620 O
0.949 0.051 0.880 O
```

Computed properties:
DOS(E_F) = 9.310 states/eV/cell
Mass density = 5.10 g cm⁻³
Uncorrected formation energy = -2991 meV per atom
Total magnetization = 1.04 μB per formula unit

=====

Compound: CsSb2Pb2
Source: the Alexandria database
Functional: GGA-PBE
Structure: optimized geometry

Geometry as POSCAR:
```
CsSb2Pb2
1.0
9.539 0.000 0.000
0.000 9.539 0.000
0.000 0.000 4.088
Cs Sb Pb
2 4 4
Direct
0.000 0.000 0.000 Cs
0.500 0.500 0.000 Cs
0.125 0.375 0.000 Sb
0.375 0.875 0.000 Sb
0.625 0.125 0.000 Sb
0.875 0.625 0.000 Sb
0.139 0.639 0.500 Pb
0.361 0.139 0.500 Pb
0.639 0.861 0.500 Pb
0.861 0.361 0.500 Pb
```

Computed properties:
DOS(E_F) = 4.588 states/eV/cell
Mass density = 7.06 g cm⁻³
Uncorrected formation energy = -85 meV per atom
Total magnetization = 0.00 μB per formula unit
Relative energy among the computed polymorphs = 116 meV/atom

=====

Compound: Be3Br5
Source: the Alexandria database
Functional: GGA-PBE
Structure: optimized geometry

Geometry as POSCAR:
```
Be3Br5
1.0
4.232 -6.157 0.000
4.232 6.157 0.000
0.000 0.000 3.416
Be Br
3 5
Direct
0.000 0.000 0.000 Be
0.343 0.657 0.500 Be
0.657 0.343 0.500 Be
0.000 0.500 0.000 Br
0.176 0.176 0.500 Br
0.500 0.000 0.000 Br
0.500 0.500 0.000 Br
0.824 0.824 0.500 Br
```

Computed properties:
DOS(E_F) = 1.594 states/eV/cell
Mass density = 3.98 g cm⁻³
Uncorrected formation energy = 29 meV per atom
Total magnetization = 0.00 μB per formula unit

=====

Compound: LiHoAlGa2
Source: the Alexandria database
Functional: GGA-PBE
Structure: optimized geometry

Geometry as POSCAR:
```
LiHoAlGa2
1.0
-2.052 2.052 5.555
2.052 -2.052 5.555
2.052 2.052 -5.555
Li Ho Al Ga
1 1 1 2
Direct
0.000 0.000 0.000 Li
0.750 0.250 0.500 Ho
0.500 0.500 0.000 Al
0.140 0.640 0.500 Ga
0.360 0.860 0.500 Ga
```

Computed properties:
DOS(E_F) = 1.408 states/eV/cell
Mass density = 6.00 g cm⁻³
Uncorrected energy = -3.719 eV per atom
Total magnetization = 0.00 μB per formula unit

=====

Compound: ErMnTl2Se4
Source: the Alexandria database
Functional: GGA-PBE
Structure: optimized geometry

Geometry as POSCAR:
```
ErMnTl2Se4
1.0
-4.213 4.214 5.971
4.213 -4.214 5.971
4.213 4.214 -5.971
Er Mn Tl Se
2 2 4 8
Direct
0.500 0.000 0.000 Er
0.500 0.500 0.500 Er
0.000 0.000 0.000 Mn
0.500 0.000 0.500 Mn
0.000 0.000 0.500 Tl
0.000 0.500 0.000 Tl
0.000 0.500 0.500 Tl
0.500 0.500 0.000 Tl
0.254 0.230 0.025 Se
0.261 0.219 0.458 Se
0.261 0.803 0.042 Se
0.295 0.770 0.525 Se
0.705 0.230 0.475 Se
0.739 0.197 0.958 Se
0.739 0.781 0.542 Se
0.746 0.770 0.975 Se
```

Computed properties:
DOS(E_F) = 7.279 states/eV/cell
Mass density = 7.42 g cm⁻³
Uncorrected formation energy = -812 meV per atom
Total magnetization = 4.25 μB per formula unit

=====

Compound: ZrMnPb2
Source: the Alexandria database
Functional: GGA-PBE
Structure: optimized geometry

Geometry as POSCAR:
```
ZrMnPb2
1.0
3.342 -4.187 0.000
3.342 4.187 0.000
0.000 0.000 3.290
Zr Mn Pb
1 1 2
Direct
0.000 0.000 0.000 Zr
0.500 0.500 0.000 Mn
0.000 0.500 0.500 Pb
0.500 0.000 0.500 Pb
```

Computed properties:
DOS(E_F) = 2.373 states/eV/cell
Mass density = 10.11 g cm⁻³
Total magnetization = 3.78 μB per formula unit
Relative energy among the computed polymorphs = 57 meV/atom

=====

Compound: Ni8IrRh6
Source: the Alexandria database
Functional: GGA-PBE
Structure: optimized geometry

Geometry as POSCAR:
```
Ni8IrRh6
1.0
3.578 2.066 4.463
-3.578 2.066 4.463
0.000 -4.132 4.463
Ni Ir Rh
8 1 6
Direct
0.050 0.858 0.395 Ni
0.142 0.605 0.950 Ni
0.239 0.239 0.239 Ni
0.395 0.050 0.858 Ni
0.605 0.950 0.142 Ni
0.761 0.761 0.761 Ni
0.858 0.395 0.050 Ni
0.950 0.142 0.605 Ni
0.000 0.000 0.000 Ir
0.176 0.429 0.615 Rh
0.385 0.824 0.571 Rh
0.429 0.615 0.176 Rh
0.571 0.385 0.824 Rh
0.615 0.176 0.429 Rh
0.824 0.571 0.385 Rh
```

Computed properties:
DOS(E_F) = 27.642 states/eV/cell
Mass density = 10.73 g cm⁻³
Total magnetization = 11.38 μB per formula unit
Relative energy among the computed polymorphs = 111 meV/atom